# 1
The following is a DFT calculation (PBE) of a geometry-optimized LaBeNi6B structure.

Lattice parameters (Å, degrees): 6.4194 7.6219 10.0034 90.00 90.00 90.00
With the nearest neighbours (Å) after each atom.
Space group Imma (No. 74)
Asymmetric unit:
La (0.0000, 0.2500, 0.1510) (multiplicity 4)  5 Ni 2.71-2.79
Be (0.2500, 0.2500, 0.7500) (multiplicity 4)  6 Ni 2.06-2.11
Ni (0.0000, 0.2500, 0.4557) (multiplicity 4)  2 B 1.96
Ni (0.0000, 0.2500, 0.8798) (multiplicity 4)  2 Be 2.06
Ni (0.2205, 0.0278, 0.6260) (multiplicity 16)  1 B 1.91, 1 Be 2.11
B (0.0000, 0.0000, 0.5000) (multiplicity 4)  6 Ni 1.91-1.96

Values from the calculation:
Formation energy from the elements ... -33 meV/atom

# 2
The following is a DFT calculation (PBE) of a geometry-optimized LaBeB2O structure.

Lattice parameters (Å, degrees): 3.4340 3.4340 6.0864 90.00 90.00 90.00
With the nearest neighbours (Å) after each atom.
Space group P4/mmm (No. 123)
Asymmetric unit:
La (0.0000, 0.0000, 0.0000) (multiplicity 1)  4 O 2.43
Be (0.0000, 0.0000, 0.5000) (multiplicity 1)  4 B 1.72
B (0.0000, 0.5000, 0.5000) (multiplicity 2)  2 Be 1.72
O (0.5000, 0.5000, 0.0000) (multiplicity 1)  4 La 2.43

Values from the calculation:
Formation energy without anion corrections ... -283 meV per atom

Results for DOS at the Fermi energy: 0.53 0.29 (in states/eV/atom, following the order of the records).